1.
Computed, not measured: a geometry-optimized CdHg2Os structure at the GGA-PBE level of DFT.

The structure in extended XYZ format:
```
4
Lattice="1.455 -2.534 0.000 1.455 2.534 0.000 0.000 0.000 11.052" Properties=species:S:1:pos:R:3 pbc="T T T"
Cd 0.000 0.000 0.000
Hg 1.455 0.000 3.026
Hg 1.455 0.000 8.026
Os 0.000 0.000 5.526
```

E_tot: -0.1865 Ry/atom
SG: No. 65

2.
Computed, not measured: a geometry-optimized CaTl3Pd2 structure at the GGA-PBE level of DFT.

The structure in extended XYZ format:
```
12
Lattice="4.277 0.000 0.000 0.000 8.766 0.000 0.000 0.000 7.557" Properties=species:S:1:pos:R:3 pbc="T T T"
Ca 0.000 0.704 0.000
Ca 0.000 8.061 3.778
Tl 0.000 2.767 4.646
Tl 0.000 5.999 0.867
Tl 2.139 1.600 2.448
Tl 2.139 3.602 7.172
Tl 2.139 5.164 3.394
Tl 2.139 7.166 6.226
Pd 0.000 3.341 1.779
Pd 0.000 5.424 5.557
Pd 2.139 1.042 5.375
Pd 2.139 7.724 1.597
```

E_tot: -0.2629 Ry/atom
SG: No. 26

3.
Computed, not measured: a geometry-optimized Eu2YTl structure at the GGA-PBE level of DFT.

The structure in extended XYZ format:
```
4
Lattice="4.924 0.000 0.000 0.000 4.924 0.000 0.000 0.000 5.242" Properties=species:S:1:pos:R:3 pbc="T T T"
Eu 0.000 2.462 0.000
Eu 2.462 0.000 0.000
Y 0.000 0.000 2.621
Tl 2.462 2.462 2.621
```

offset from the most stable computed form: 0.0000 eV per atom
E_tot: -0.5511 Ry/atom
SG: No. 123

4.
Computed, not measured: a geometry-optimized Re2Mo structure at the GGA-PBE level of DFT.

The structure in extended XYZ format:
```
6
Lattice="-3.157 3.157 2.427 3.157 -3.157 2.427 3.157 3.157 -2.427" Properties=species:S:1:pos:R:3 pbc="T T T"
Re 4.035 0.878 0.000
Re 0.878 2.279 0.000
Re 2.279 0.878 2.427
Re -0.878 2.279 2.427
Mo 0.000 0.000 1.213
Mo 0.000 0.000 3.640
```

offset from the most stable computed form: 0.3628 eV per atom
E_tot: -0.8402 Ry/atom
SG: No. 140

5.
Computed, not measured: a geometry-optimized LaTb3NdSc structure at the GGA-PBE level of DFT.

The structure in extended XYZ format:
```
12
Lattice="2.525 -7.526 0.000 2.525 7.526 0.000 0.000 0.000 10.115" Properties=species:S:1:pos:R:3 pbc="T T T"
La 2.525 7.492 7.586
La 2.525 -7.492 2.529
Tb 2.525 4.978 0.001
Tb 2.525 4.978 5.057
Tb 2.525 2.583 7.586
Tb 2.525 -2.583 2.529
Tb 2.525 -4.978 10.114
Tb 2.525 -4.978 5.059
Nd 2.525 0.000 0.000
Nd 2.525 0.000 5.058
Sc 2.525 2.558 2.529
Sc 2.525 -2.558 7.586
```

E_tot: -0.3631 Ry/atom
SG: No. 63

6.
Computed, not measured: a geometry-optimized LaNdIrRh structure at the GGA-PBE level of DFT.

The structure in extended XYZ format:
```
4
Lattice="0.000 3.571 3.571 3.571 0.000 3.571 3.571 3.571 0.000" Properties=species:S:1:pos:R:3 pbc="T T T"
La 0.000 0.000 0.000
Nd 3.571 3.571 3.571
Ir 5.357 5.357 5.357
Rh 1.786 1.786 1.786
```

offset from the most stable computed form: 0.0647 eV per atom
E_tot: -0.5217 Ry/atom
SG: No. 216

7.
Computed, not measured: a geometry-optimized Na2URhO6 structure at the GGA-PBE level of DFT.

The structure in extended XYZ format:
```
20
Lattice="5.612 0.000 0.000 0.000 5.683 0.000 -5.586 0.000 7.993" Properties=species:S:1:pos:R:3 pbc="T T T"
Na -0.028 0.159 1.998
Na -2.821 2.683 5.994
Na 2.847 3.001 1.998
Na 0.054 5.524 5.995
U 2.806 0.000 0.000
U 0.013 2.842 3.996
Rh -2.793 0.000 3.996
Rh 0.000 2.842 0.000
O -4.434 1.229 7.690
O -1.641 1.613 3.694
O -3.988 4.017 7.691
O -1.195 4.508 3.695
O -2.375 0.095 5.953
O 0.418 2.747 1.957
O -0.391 2.937 6.036
O 2.401 5.588 2.040
O 1.221 1.176 4.298
O 4.014 1.666 0.301
O 1.667 4.071 4.299
O 4.460 4.454 0.302
```

E_tot: -0.5229 Ry/atom
SG: No. 14

8.
Computed, not measured: a geometry-optimized Fe2SbAu structure at the GGA-PBE level of DFT.

The structure in extended XYZ format:
```
4
Lattice="1.534 0.886 8.152 -1.534 0.886 8.152 0.000 -1.771 8.152" Properties=species:S:1:pos:R:3 pbc="T T T"
Fe 0.000 0.000 6.101
Fe 0.000 0.000 18.354
Sb 0.000 0.000 12.227
Au 0.000 0.000 0.000
```

E_tot: -0.4150 Ry/atom
SG: No. 166

9.
Computed, not measured: a geometry-optimized LiTcBi structure at the GGA-PBE level of DFT.

The structure in extended XYZ format:
```
6
Lattice="4.249 -1.719 0.000 4.249 1.719 0.000 -3.637 0.000 8.212" Properties=species:S:1:pos:R:3 pbc="T T T"
Li 0.000 0.000 0.000
Li -0.129 0.000 3.007
Tc 2.301 0.000 4.262
Tc 4.785 0.000 4.996
Bi -1.211 0.000 6.572
Bi 5.996 0.000 1.891
```

offset from the most stable computed form: 0.0497 eV per atom
E_tot: -0.3892 Ry/atom
SG: No. 8

10.
Computed, not measured: a geometry-optimized Tb2TlGa structure at the GGA-PBE level of DFT.

The structure in extended XYZ format:
```
4
Lattice="1.868 1.078 9.098 -1.868 1.078 9.098 0.000 -2.157 9.098" Properties=species:S:1:pos:R:3 pbc="T T T"
Tb 0.000 0.000 6.645
Tb 0.000 0.000 20.649
Tl 0.000 0.000 0.000
Ga 0.000 0.000 13.647
```

offset from the most stable computed form: 0.1122 eV per atom
E_tot: -0.2952 Ry/atom
SG: No. 166

11.
Computed, not measured: a geometry-optimized Y4BeSb structure at the GGA-PBE level of DFT.

The structure in extended XYZ format:
```
6
Lattice="0.000 4.399 4.399 4.399 0.000 4.399 4.399 4.399 0.000" Properties=species:S:1:pos:R:3 pbc="T T T"
Y 1.099 1.099 1.099
Y 3.300 3.300 1.099
Y 3.300 1.099 3.300
Y 1.099 3.300 3.300
Be 6.598 6.598 6.598
Sb 4.399 4.399 4.399
```

E_tot: -0.3749 Ry/atom
SG: No. 216

12.
Computed, not measured: a geometry-optimized Zn3SeF structure at the GGA-PBE level of DFT.

The structure in extended XYZ format:
```
10
Lattice="4.142 0.000 0.000 1.129 6.301 0.000 1.542 2.209 7.178" Properties=species:S:1:pos:R:3 pbc="T T T"
Zn 0.000 0.000 0.000
Zn 2.182 7.423 4.961
Zn 2.642 5.791 3.046
Zn 2.994 1.662 3.332
Zn 3.696 3.208 5.198
Zn 4.766 3.843 0.224
Se 2.735 3.679 1.706
Se 5.775 4.701 5.349
F 1.925 0.762 0.107
F 5.140 6.684 1.986
```

offset from the most stable computed form: 0.0290 eV per atom
E_tot: -0.1922 Ry/atom
SG: No. 1

13.
Computed, not measured: a geometry-optimized Na5Ca4 structure at the GGA-PBE level of DFT.

The structure in extended XYZ format:
```
9
Lattice="-6.558 6.558 2.079 6.558 -6.558 2.079 6.558 6.558 -2.079" Properties=species:S:1:pos:R:3 pbc="T T T"
Na 0.000 0.000 0.000
Na 4.313 4.313 0.000
Na 2.246 -2.246 2.079
Na -2.246 2.246 2.079
Na 2.246 2.246 2.079
Ca 4.348 0.000 0.000
Ca 8.769 0.000 0.000
Ca 0.000 4.348 0.000
Ca 0.000 8.769 0.000
```

E_tot: -0.1145 Ry/atom
SG: No. 139

14.
Computed, not measured: a geometry-optimized Sm4CdAu structure at the GGA-PBE level of DFT.

The structure in extended XYZ format:
```
24
Lattice="0.000 7.070 7.070 7.070 0.000 7.070 7.070 7.070 0.000" Properties=species:S:1:pos:R:3 pbc="T T T"
Sm 7.070 7.070 2.592
Sm 7.070 2.592 7.070
Sm 11.549 7.070 7.070
Sm 5.560 5.560 5.560
Sm 8.581 8.581 5.560
Sm 8.581 5.560 8.581
Sm 10.606 10.606 7.895
Sm 10.606 7.895 10.606
Sm 13.316 10.606 10.606
Sm 2.592 7.070 7.070
Sm 7.070 11.549 7.070
Sm 7.070 7.070 11.549
Sm 5.560 8.581 8.581
Sm 7.895 10.606 10.606
Sm 10.606 13.316 10.606
Sm 10.606 10.606 13.316
Cd 2.384 2.384 2.384
Cd 4.686 4.686 2.384
Cd 4.686 2.384 4.686
Cd 2.384 4.686 4.686
Au 8.550 5.591 5.591
Au 5.591 8.550 5.591
Au 5.591 5.591 8.550
Au 8.550 8.550 8.550
```

offset from the most stable computed form: 0.0000 eV per atom
E_tot: -0.3107 Ry/atom
SG: No. 216

15.
Computed, not measured: a geometry-optimized NbTeMo2 structure at the GGA-PBE level of DFT.

The structure in extended XYZ format:
```
8
Lattice="-1.986 1.986 9.821 1.986 -1.986 9.821 1.986 1.986 -9.821" Properties=species:S:1:pos:R:3 pbc="T T T"
Nb 0.000 0.000 0.000
Nb 0.000 1.986 4.911
Te 1.986 0.000 4.911
Te 0.000 0.000 9.821
Mo 0.993 -0.830 7.366
Mo 1.157 0.993 2.455
Mo 0.993 2.816 -2.455
Mo 0.830 0.993 12.277
```

E_tot: -0.5916 Ry/atom
SG: No. 122

16.
Computed, not measured: a geometry-optimized KAgAu3 structure at the GGA-PBE level of DFT.

The structure in extended XYZ format:
```
5
Lattice="5.244 0.000 0.000 0.000 5.244 0.000 0.000 0.000 5.244" Properties=species:S:1:pos:R:3 pbc="T T T"
K 0.000 0.000 0.000
Ag 2.622 2.622 2.622
Au 0.000 2.622 2.622
Au 2.622 0.000 2.622
Au 2.622 2.622 0.000
```

offset from the most stable computed form: 0.2866 eV per atom
E_tot: -0.1903 Ry/atom
SG: No. 221

17.
Computed, not measured: a geometry-optimized K2TmI6 structure at the GGA-PBE level of DFT.

The structure in extended XYZ format:
```
9
Lattice="4.010 0.000 0.000 0.000 9.707 4.740 0.000 -9.707 4.740" Properties=species:S:1:pos:R:3 pbc="T T T"
K 0.000 -6.623 4.740
K 0.000 6.623 4.740
Tm 2.005 0.000 4.324
I 0.000 -2.156 3.586
I 0.000 2.156 3.586
I 0.000 0.000 6.697
I 2.005 0.000 0.955
I 2.005 -4.243 6.730
I 2.005 4.243 6.730
```

E_tot: -0.2130 Ry/atom
SG: No. 38

18.
Computed, not measured: a geometry-optimized RbLaAgAs2 structure at the GGA-PBE level of DFT.

The structure in extended XYZ format:
```
5
Lattice="5.634 0.000 0.000 0.000 5.634 0.000 0.000 0.000 7.215" Properties=species:S:1:pos:R:3 pbc="T T T"
Rb 0.000 0.000 0.000
La 0.000 0.000 3.607
Ag 2.817 2.817 0.000
As 0.000 2.817 3.607
As 2.817 0.000 3.607
```

E_tot: -0.2327 Ry/atom
SG: No. 123

19.
Computed, not measured: a geometry-optimized HfP2CCl structure at the GGA-PBE level of DFT.

The structure in extended XYZ format:
```
5
Lattice="5.047 0.000 0.000 0.000 5.047 0.000 0.000 0.000 4.882" Properties=species:S:1:pos:R:3 pbc="T T T"
Hf 0.000 0.000 0.000
P 0.000 2.524 0.000
P 2.524 0.000 0.000
C 2.524 2.524 2.441
Cl 0.000 0.000 2.441
```

offset from the most stable computed form: 0.6425 eV per atom
E_tot: -0.3728 Ry/atom
SG: No. 123

20.
Computed, not measured: a geometry-optimized NaHgBi3 structure at the GGA-PBE level of DFT.

The structure in extended XYZ format:
```
10
Lattice="6.765 0.000 0.000 0.000 7.269 0.000 0.000 0.000 6.898" Properties=species:S:1:pos:R:3 pbc="T T T"
Na 0.000 1.624 0.000
Na 3.382 5.645 3.449
Hg 0.000 6.389 4.393
Hg 3.382 0.880 0.944
Bi 0.000 4.132 2.424
Bi 1.651 5.673 0.126
Bi 1.732 1.597 3.575
Bi 3.382 3.137 5.873
Bi 5.033 1.597 3.575
Bi 5.114 5.673 0.126
```

offset from the most stable computed form: 0.0000 eV per atom
E_tot: -0.1991 Ry/atom
SG: No. 31